## AlSbAu2 (GGA-PBE)

Data for a relaxed AlSbAu2 crystal.

## Properties
Uncorrected formation energy ... -0.10 eV per atom
Energy above the lowest structure with this stoichiometry ... 26 kJ/mol of formula units
Calculated total energy ... -3.70 eV/atom
Calculated density ... 11.5 g cm⁻³
Space-group type ... P4/mmm, No. 123

Geometry as POSCAR:
```
AlSbAu2
1.0
-2.559 0.904 -1.613
-1.839 -0.955 2.382
0.484 7.165 3.246
Sb Au Al
1 2 1
Direct
0.500 0.500 0.250 Sb
0.000 0.000 0.950 Au
0.000 0.000 0.550 Au
0.500 0.500 0.750 Al
```

=====

## AlSbAu2 (GGA-PBE)

Data for a relaxed AlSbAu2 crystal.

## Properties
Uncorrected formation energy ... 0.06 eV per atom
Energy above the lowest structure with this stoichiometry ... 88 kJ/mol of formula units
Calculated total energy ... -3.54 eV/atom
Calculated density ... 11.2 g cm⁻³
Space-group type ... Fm-3m, No. 225

Geometry as POSCAR:
```
AlSbAu2
1.0
4.636 -0.670 1.267
1.135 -1.002 4.611
1.570 -4.431 1.205
Sb Au Al
1 2 1
Direct
0.500 0.500 0.500 Sb
0.250 0.250 0.250 Au
0.750 0.750 0.750 Au
0.000 0.000 0.000 Al
```

=====

## Al2SbAu (GGA-PBE)

Data for a relaxed Al2SbAu crystal.

## Properties
Uncorrected formation energy ... 0.02 eV per atom
Calculated total energy ... -3.70 eV/atom
Calculated density ... 5.8 g cm⁻³
Space-group type ... I-42d, No. 122

Geometry as POSCAR:
```
Al2SbAu
1.0
-1.945 5.945 1.551
-2.949 0.524 -5.707
-6.738 1.299 -0.039
Sb Au Al
2 2 4
Direct
0.500 0.500 0.000 Sb
0.250 0.750 0.500 Sb
0.000 0.000 0.000 Au
0.750 0.250 0.500 Au
0.648 0.125 0.250 Al
0.102 0.625 0.250 Al
0.375 0.352 0.750 Al
0.875 0.898 0.750 Al
```

=====

## TaAlSbAu2 (GGA-PBE)

Data for a relaxed TaAlSbAu2 crystal.

## Properties
Uncorrected formation energy ... 0.75 eV per atom
Calculated total energy ... -4.50 eV/atom
Calculated density ... 8.3 g cm⁻³
Space-group type ... P4/mmm, No. 123

Geometry as POSCAR:
```
TaAlSbAu2
1.0
5.221 0.000 0.000
0.000 5.282 0.000
0.000 0.000 5.221
Sb Au Al Ta
1 2 1 1
Direct
0.000 0.500 0.000 Sb
0.000 0.000 0.500 Au
0.500 0.000 0.000 Au
0.500 0.500 0.500 Al
0.000 0.000 0.000 Ta
```

=====

Please write out number 3 again, unchanged.
## Al2SbAu (GGA-PBE)

Data for a relaxed Al2SbAu crystal.

## Properties
Uncorrected formation energy ... 0.02 eV per atom
Calculated total energy ... -3.70 eV/atom
Calculated density ... 5.8 g cm⁻³
Space-group type ... I-42d, No. 122

Geometry as POSCAR:
```
Al2SbAu
1.0
-1.945 5.945 1.551
-2.949 0.524 -5.707
-6.738 1.299 -0.039
Sb Au Al
2 2 4
Direct
0.500 0.500 0.000 Sb
0.250 0.750 0.500 Sb
0.000 0.000 0.000 Au
0.750 0.250 0.500 Au
0.648 0.125 0.250 Al
0.102 0.625 0.250 Al
0.375 0.352 0.750 Al
0.875 0.898 0.750 Al
```

=====

What did the third record say?
## Al2SbAu (GGA-PBE)

Data for a relaxed Al2SbAu crystal.

## Properties
Uncorrected formation energy ... 0.02 eV per atom
Calculated total energy ... -3.70 eV/atom
Calculated density ... 5.8 g cm⁻³
Space-group type ... I-42d, No. 122

Geometry as POSCAR:
```
Al2SbAu
1.0
-1.945 5.945 1.551
-2.949 0.524 -5.707
-6.738 1.299 -0.039
Sb Au Al
2 2 4
Direct
0.500 0.500 0.000 Sb
0.250 0.750 0.500 Sb
0.000 0.000 0.000 Au
0.750 0.250 0.500 Au
0.648 0.125 0.250 Al
0.102 0.625 0.250 Al
0.375 0.352 0.750 Al
0.875 0.898 0.750 Al
```

=====

Repeat the first record exactly.
## AlSbAu2 (GGA-PBE)

Data for a relaxed AlSbAu2 crystal.

## Properties
Uncorrected formation energy ... -0.10 eV per atom
Energy above the lowest structure with this stoichiometry ... 26 kJ/mol of formula units
Calculated total energy ... -3.70 eV/atom
Calculated density ... 11.5 g cm⁻³
Space-group type ... P4/mmm, No. 123

Geometry as POSCAR:
```
AlSbAu2
1.0
-2.559 0.904 -1.613
-1.839 -0.955 2.382
0.484 7.165 3.246
Sb Au Al
1 2 1
Direct
0.500 0.500 0.250 Sb
0.000 0.000 0.950 Au
0.000 0.000 0.550 Au
0.500 0.500 0.750 Al
```

=====

Among the records above, which one has the highest calculated total energy? number 2